[1]
Compound: SrCr2MoO8
Source: Alexandria
Functional: GGA+U
Structure: relaxed

Lattice parameters (Å, degrees): 4.952 4.951 6.935 80.43 80.46 76.45
Fractional positions:
O: 0.781 0.232 0.793
O: 0.771 0.221 0.207
O: 0.753 0.756 0.062
O: 0.658 0.661 0.484
O: 0.247 0.244 0.938
O: 0.342 0.339 0.516
O: 0.229 0.779 0.793
O: 0.219 0.768 0.207
Mo: 0.000 0.000 0.000
Cr: 0.556 0.556 0.278
Cr: 0.444 0.444 0.722
Sr: 0.000 0.000 0.500

- SG = P-1, No. 2
- final energy (eV per atom) = -7.03
- volume (A^3/atom) = 13.462
- total magnetization (μB per atom) = 0.333
- crystal system = triclinic

---

[2]
Compound: TbCr2MoO6
Source: Alexandria
Functional: GGA+U
Structure: relaxed

Lattice parameters (Å, degrees): 5.399 5.400 5.624 61.31 61.30 60.00
Fractional positions:
Tb: 0.796 0.796 0.613
Cr: 0.520 0.520 0.441
Cr: 0.013 0.013 0.962
O: 0.733 0.158 0.743
O: 0.158 0.365 0.743
O: 0.238 0.886 0.237
O: 0.886 0.639 0.237
O: 0.365 0.733 0.743
O: 0.639 0.238 0.237
Mo: 0.314 0.314 0.059

- SG = R3, No. 146
- final energy (eV per atom) = -7.88
- volume (A^3/atom) = 11.815
- total magnetization (μB per atom) = 0.900
- crystal system = trigonal

---

[3]
Compound: TiCrMoO6
Source: Alexandria
Functional: GGA+U
Structure: relaxed

Lattice parameters (Å, degrees): 4.638 4.638 9.202 90.00 90.00 90.00
Fractional positions:
O: 0.698 0.698 0.334
O: 0.302 0.302 0.334
O: 0.198 0.802 0.834
O: 0.305 0.305 0.672
O: 0.201 0.799 0.498
O: 0.195 0.805 0.172
O: 0.701 0.701 0.998
O: 0.299 0.299 0.998
O: 0.802 0.198 0.834
O: 0.799 0.201 0.498
O: 0.695 0.695 0.672
O: 0.805 0.195 0.172
Ti: 0.500 0.500 0.828
Ti: 0.000 0.000 0.328
Mo: 0.500 0.500 0.499
Mo: 0.000 0.000 0.999
Cr: 0.000 0.000 0.666
Cr: 0.500 0.500 0.166

- SG = P4_2nm, No. 102
- final energy (eV per atom) = -8.00
- volume (A^3/atom) = 10.999
- total magnetization (μB per atom) = 0.444
- crystal system = tetragonal

---

[4]
Compound: TlCrMo2O8
Source: Alexandria
Functional: GGA+U
Structure: relaxed

Lattice parameters (Å, degrees): 5.743 9.154 15.505 90.00 90.00 90.00
Fractional positions:
O: 0.750 0.343 0.096
O: 0.003 0.267 0.450
O: 0.750 0.858 0.687
O: 0.489 0.414 0.285
O: 0.497 0.267 0.450
O: 0.511 0.914 0.215
O: 0.997 0.733 0.550
O: 0.250 0.843 0.404
O: 0.997 0.767 0.050
O: 0.750 0.028 0.068
O: 0.003 0.233 0.950
O: 0.250 0.657 0.904
O: 0.489 0.086 0.785
O: 0.750 0.860 0.872
O: 0.750 0.472 0.568
O: 0.250 0.360 0.628
O: 0.250 0.140 0.128
O: 0.250 0.528 0.432
O: 0.250 0.142 0.313
O: 0.750 0.640 0.372
O: 0.989 0.586 0.715
O: 0.511 0.586 0.715
O: 0.011 0.086 0.785
O: 0.989 0.914 0.215
O: 0.497 0.233 0.950
O: 0.503 0.767 0.050
O: 0.750 0.157 0.596
O: 0.503 0.733 0.550
O: 0.750 0.642 0.187
O: 0.250 0.358 0.813
O: 0.011 0.414 0.285
O: 0.250 0.972 0.932
Mo: 0.750 0.973 0.782
Mo: 0.250 0.704 0.483
Mo: 0.250 0.027 0.218
Mo: 0.250 0.473 0.718
Mo: 0.750 0.204 0.017
Mo: 0.750 0.296 0.517
Mo: 0.250 0.796 0.983
Mo: 0.750 0.527 0.282
Tl: 0.750 0.936 0.382
Tl: 0.250 0.436 0.118
Tl: 0.750 0.564 0.882
Tl: 0.250 0.064 0.618
Cr: 0.250 0.160 0.870
Cr: 0.750 0.660 0.630
Cr: 0.750 0.840 0.130
Cr: 0.250 0.340 0.370

- SG = Pnma, No. 62
- final energy (eV per atom) = -6.92
- volume (A^3/atom) = 16.982
- total magnetization (μB per atom) = 0.250
- crystal system = orthorhombic

---

[5]
Compound: Tl2Cr2MoO6
Source: Alexandria
Functional: GGA+U
Structure: relaxed

Lattice parameters (Å, degrees): 5.412 5.412 6.810 97.92 97.92 120.35
Fractional positions:
O: 0.394 0.052 0.658
O: 0.720 0.720 0.652
O: 0.052 0.394 0.658
O: 0.948 0.606 0.342
O: 0.280 0.280 0.348
O: 0.606 0.948 0.342
Tl: 0.168 0.832 0.000
Tl: 0.832 0.168 0.000
Cr: 0.332 0.668 0.500
Cr: 0.668 0.332 0.500
Mo: 0.000 0.000 0.500

- SG = C2/m, No. 12
- final energy (eV per atom) = -6.63
- volume (A^3/atom) = 15.033
- total magnetization (μB per atom) = 0.727
- crystal system = monoclinic

---

[6]
Compound: TlCrMoO6
Source: Alexandria
Functional: GGA+U
Structure: relaxed

Lattice parameters (Å, degrees): 5.203 5.203 4.796 89.98 89.98 59.99
Fractional positions:
O: 0.633 0.358 0.723
O: 0.358 0.633 0.277
O: 0.633 0.009 0.277
O: 0.009 0.358 0.277
O: 0.009 0.633 0.723
O: 0.358 0.009 0.723
Mo: 0.333 0.333 0.500
Cr: 0.667 0.667 0.500
Tl: 0.000 0.000 0.000

- SG = P312, No. 149
- final energy (eV per atom) = -6.58
- volume (A^3/atom) = 12.491
- total magnetization (μB per atom) = 0.333
- crystal system = trigonal

---

[7]
Compound: TlCrMo2O
Source: Alexandria
Functional: GGA+U
Structure: relaxed

Lattice parameters (Å, degrees): 4.562 4.496 4.562 90.00 90.00 90.00
Fractional positions:
Mo: 0.500 0.000 0.000
Mo: 0.000 0.000 0.500
Tl: 0.500 0.500 0.500
O: 0.000 0.000 0.000
Cr: 0.000 0.500 0.000

- SG = P4/mmm, No. 123
- final energy (eV per atom) = -5.43
- volume (A^3/atom) = 18.719
- total magnetization (μB per atom) = 2.202
- crystal system = tetragonal

---

[8]
Compound: TlCrMo2O8
Source: Alexandria
Functional: GGA+U
Structure: relaxed

Lattice parameters (Å, degrees): 5.353 5.353 9.010 72.72 72.72 60.00
Fractional positions:
O: 0.196 0.196 0.411
O: 0.006 0.368 0.862
O: 0.632 0.236 0.138
O: 0.368 0.764 0.862
O: 0.994 0.632 0.138
O: 0.804 0.804 0.589
O: 0.236 0.994 0.138
O: 0.764 0.006 0.862
Mo: 0.266 0.266 0.202
Mo: 0.734 0.734 0.798
Tl: 0.500 0.500 0.500
Cr: 0.000 0.000 0.000

- SG = R-3, No. 148
- final energy (eV per atom) = -6.90
- volume (A^3/atom) = 17.500
- total magnetization (μB per atom) = 0.250
- crystal system = trigonal

---

[9]
Compound: Tl3Cr3MoO8
Source: Alexandria
Functional: GGA+U
Structure: relaxed

Lattice parameters (Å, degrees): 6.188 6.262 7.450 114.76 90.00 119.61
Fractional positions:
O: 0.222 0.445 0.659
O: 0.715 0.430 0.652
O: 0.215 0.935 0.657
O: 0.280 0.065 0.343
O: 0.785 0.065 0.343
O: 0.720 0.935 0.657
O: 0.778 0.555 0.341
O: 0.285 0.570 0.348
Cr: 0.000 0.500 0.500
Cr: 0.500 0.000 0.500
Cr: 0.500 0.500 0.500
Tl: 0.500 0.500 0.000
Tl: 0.000 0.500 0.000
Tl: 0.000 0.000 0.000
Mo: 0.000 0.000 0.500

- SG = C2/m, No. 12
- final energy (eV per atom) = -6.54
- volume (A^3/atom) = 14.664
- total magnetization (μB per atom) = 0.728
- crystal system = monoclinic

---

[10]
Compound: Tl2CrMoO
Source: Alexandria
Functional: GGA+U
Structure: relaxed

Lattice parameters (Å, degrees): 5.312 3.927 5.312 90.00 90.00 90.00
Fractional positions:
Mo: 0.500 0.500 0.500
O: 0.000 0.000 0.000
Tl: 0.500 0.000 0.000
Tl: 0.000 0.000 0.500
Cr: 0.000 0.500 0.000

- SG = P4/mmm, No. 123
- final energy (eV per atom) = -4.76
- volume (A^3/atom) = 22.160
- total magnetization (μB per atom) = 0.025
- crystal system = tetragonal

---

[11]
Compound: UCrMoO6
Source: Alexandria
Functional: GGA+U
Structure: relaxed

Lattice parameters (Å, degrees): 5.331 5.331 9.172 90.00 90.00 120.00
Fractional positions:
O: 0.336 0.345 0.368
O: 0.336 0.990 0.132
O: 0.664 0.655 0.632
O: 0.345 0.010 0.632
O: 0.655 0.664 0.132
O: 0.010 0.345 0.132
O: 0.664 0.010 0.868
O: 0.655 0.990 0.368
O: 0.990 0.655 0.868
O: 0.990 0.336 0.632
O: 0.345 0.336 0.868
O: 0.010 0.664 0.368
Mo: 0.000 0.000 0.000
Mo: 0.000 0.000 0.500
Cr: 0.667 0.333 0.750
Cr: 0.333 0.667 0.250
U: 0.667 0.333 0.250
U: 0.333 0.667 0.750

- SG = P-31c, No. 163
- final energy (eV per atom) = -8.54
- volume (A^3/atom) = 12.539
- total magnetization (μB per atom) = 0.667
- crystal system = trigonal

---

[12]
Compound: CrMoWO6
Source: Alexandria
Functional: GGA+U
Structure: relaxed

Lattice parameters (Å, degrees): 5.136 5.136 9.251 90.00 90.00 120.00
Fractional positions:
O: 0.343 0.990 0.634
O: 0.646 0.657 0.634
O: 0.354 0.343 0.366
O: 0.990 0.343 0.134
O: 0.990 0.646 0.366
O: 0.354 0.010 0.134
O: 0.343 0.354 0.866
O: 0.010 0.354 0.634
O: 0.646 0.990 0.866
O: 0.657 0.646 0.134
O: 0.010 0.657 0.866
O: 0.657 0.010 0.366
Mo: 0.000 0.000 0.500
Mo: 0.000 0.000 0.000
W: 0.667 0.333 0.250
W: 0.333 0.667 0.750
Cr: 0.667 0.333 0.750
Cr: 0.333 0.667 0.250

- SG = P-31c, No. 163
- final energy (eV per atom) = -7.64
- volume (A^3/atom) = 11.743
- total magnetization (μB per atom) = 0.667
- crystal system = trigonal

---

Please write out number 8 again, unchanged.
Compound: TlCrMo2O8
Source: Alexandria
Functional: GGA+U
Structure: relaxed

Lattice parameters (Å, degrees): 5.353 5.353 9.010 72.72 72.72 60.00
Fractional positions:
O: 0.196 0.196 0.411
O: 0.006 0.368 0.862
O: 0.632 0.236 0.138
O: 0.368 0.764 0.862
O: 0.994 0.632 0.138
O: 0.804 0.804 0.589
O: 0.236 0.994 0.138
O: 0.764 0.006 0.862
Mo: 0.266 0.266 0.202
Mo: 0.734 0.734 0.798
Tl: 0.500 0.500 0.500
Cr: 0.000 0.000 0.000

- SG = R-3, No. 148
- final energy (eV per atom) = -6.90
- volume (A^3/atom) = 17.500
- total magnetization (μB per atom) = 0.250
- crystal system = trigonal

---

Look up the total magnetization of the third one. 0.444 μB per atom